(1)
Below is a relaxed LiPm2TiPt6 crystal, with properties calculated at the PBE level.

```
data_LiPm2TiPt6
_chemical_formula_sum 'Li1 Pm2 Ti1 Pt6'
_space_group_name_H-M_alt 'P 1'
_space_group_IT_number 1
_cell_length_a 8.451
_cell_length_b 5.715
_cell_length_c 8.459
_cell_angle_alpha 70.15
_cell_angle_beta 39.52
_cell_angle_gamma 89.91
loop_
_space_group_symop_operation_xyz
'x,y,z'
loop_
_atom_site_label
_atom_site_fract_x
_atom_site_fract_y
_atom_site_fract_z
Pt1 0.749 0.251 0.987
Pt2 0.761 0.749 0.503
Ti1 0.500 0.500 0.000
Pm1 0.206 0.794 0.411
Pt3 0.749 0.760 0.987
Pt4 0.251 0.749 0.013
Pt5 0.239 0.251 0.497
Li1 0.000 0.000 0.000
Pm2 0.794 0.206 0.589
Pt6 0.251 0.240 0.013
```

Computed properties:
space-group type: C2/m
E_form: -0.76 eV per atom
DOS(E_F): 3.69 states/eV/f.u.

(2)
Below is a relaxed LiPmTlPt crystal, with properties calculated at the PBE level.

```
data_LiPmTlPt
_chemical_formula_sum 'Li1 Pm1 Tl1 Pt1'
_space_group_name_H-M_alt 'P 1'
_space_group_IT_number 1
_cell_length_a 4.906
_cell_length_b 4.906
_cell_length_c 4.906
_cell_angle_alpha 60.00
_cell_angle_beta 60.00
_cell_angle_gamma 60.00
loop_
_space_group_symop_operation_xyz
'x,y,z'
loop_
_atom_site_label
_atom_site_fract_x
_atom_site_fract_y
_atom_site_fract_z
Pt1 0.750 0.750 0.750
Tl1 0.500 0.500 0.500
Pm1 0.000 0.000 0.000
Li1 0.250 0.250 0.250
```

Computed properties:
space-group type: F-43m
E_form: -0.58 eV per atom
DOS(E_F): 6.10 states/eV/f.u.

(3)
Below is a relaxed LiPmTmPt crystal, with properties calculated at the PBE level.

```
data_LiPmTmPt
_chemical_formula_sum 'Li1 Pm1 Tm1 Pt1'
_space_group_name_H-M_alt 'P 1'
_space_group_IT_number 1
_cell_length_a 5.016
_cell_length_b 5.016
_cell_length_c 5.016
_cell_angle_alpha 60.00
_cell_angle_beta 60.00
_cell_angle_gamma 60.00
loop_
_space_group_symop_operation_xyz
'x,y,z'
loop_
_atom_site_label
_atom_site_fract_x
_atom_site_fract_y
_atom_site_fract_z
Pt1 0.250 0.250 0.250
Pm1 0.500 0.500 0.500
Tm1 0.000 0.000 0.000
Li1 0.750 0.750 0.750
```

Computed properties:
space-group type: F-43m
E_form: -0.63 eV per atom
DOS(E_F): 3.40 states/eV/f.u.